1.
The following is a GGA-PBE calculation of Sr2NF after structural relaxation, from Alexandria.

Lattice parameters (Å, degrees): 4.557 4.557 4.557 60.00 60.00 60.00
Atoms (fractional coordinates):
Sr1 0.250 0.250 0.250
Sr2 0.750 0.750 0.750
N1 0.000 0.000 0.000
F1 0.500 0.500 0.500

Computed properties:
Formation energy from raw total energies (eV per atom): -1.5427
DOS at the Fermi energy (states/eV/f.u.): 0.00
Space-group type: No. 225
Total magnetization (μB/f.u.): 0.0

2.
The following is a GGA-PBE calculation of SrN2F2 after structural relaxation, from Alexandria.

Lattice parameters (Å, degrees): 6.286 6.286 3.610 90.00 90.00 90.00
Atoms (fractional coordinates):
Sr1 0.000 0.000 0.000
Sr2 0.500 0.500 0.000
N1 0.062 0.438 0.000
N2 0.438 0.938 0.000
N3 0.562 0.062 0.000
N4 0.938 0.562 0.000
F1 0.232 0.732 0.500
F2 0.268 0.232 0.500
F3 0.732 0.768 0.500
F4 0.768 0.268 0.500

Computed properties:
Formation energy from raw total energies (eV per atom): -1.8563
Relative energy among the computed polymorphs (meV/atom): 420.1
DOS at the Fermi energy (states/eV/f.u.): 0.00
Space-group type: No. 127
Total magnetization (μB/f.u.): 0.0

3.
The following is a GGA-PBE calculation of SrNF after structural relaxation, from Alexandria.

Lattice parameters (Å, degrees): 10.109 10.109 10.109 160.33 160.33 27.96
Atoms (fractional coordinates):
Sr1 0.157 0.157 0.000
Sr2 0.843 0.843 0.000
N1 0.408 0.408 0.000
N2 0.592 0.592 0.000
F1 0.286 0.286 0.000
F2 0.714 0.714 0.000

Computed properties:
Formation energy from raw total energies (eV per atom): -0.9306
DOS at the Fermi energy (states/eV/f.u.): 1.46
Space-group type: No. 139
Total magnetization (μB/f.u.): 2.0

4.
The following is a GGA-PBE calculation of SrN2F2 after structural relaxation, from Alexandria.

Lattice parameters (Å, degrees): 3.948 3.948 7.387 91.11 91.11 60.04
Atoms (fractional coordinates):
Sr1 0.000 0.000 0.000
N1 0.003 0.003 0.425
N2 0.997 0.997 0.575
F1 0.336 0.336 0.128
F2 0.664 0.664 0.872

Computed properties:
Formation energy from raw total energies (eV per atom): -2.2764
Relative energy among the computed polymorphs (meV/atom): 0.0
DOS at the Fermi energy (states/eV/f.u.): 0.00
Space-group type: No. 12
Total magnetization (μB/f.u.): 0.1

5.
The following is a GGA-PBE calculation of SrNF3 after structural relaxation, from Alexandria.

Lattice parameters (Å, degrees): 4.081 4.081 4.081 90.00 90.00 90.00
Atoms (fractional coordinates):
Sr1 0.000 0.000 0.000
N1 0.500 0.500 0.500
F1 0.000 0.500 0.500
F2 0.500 0.000 0.500
F3 0.500 0.500 0.000

Computed properties:
Formation energy from raw total energies (eV per atom): -1.2428
Relative energy among the computed polymorphs (meV/atom): 0.0
DOS at the Fermi energy (states/eV/f.u.): 0.85
Space-group type: No. 221
Total magnetization (μB/f.u.): 2.0

6.
The following is a GGA-PBE calculation of SrN2F2 after structural relaxation, from Alexandria.

Lattice parameters (Å, degrees): 3.692 3.692 5.013 90.00 90.00 90.00
Atoms (fractional coordinates):
Sr1 0.000 0.000 0.000
N1 0.000 0.500 0.500
N2 0.500 0.000 0.500
F1 0.500 0.500 0.000
F2 0.500 0.500 0.500

Computed properties:
Formation energy from raw total energies (eV per atom): 0.2951
Relative energy among the computed polymorphs (meV/atom): 2571.5
DOS at the Fermi energy (states/eV/f.u.): 1.89
Space-group type: No. 123
Total magnetization (μB/f.u.): 2.1

7.
The following is a GGA-PBE calculation of Sr7NF12 after structural relaxation, from Alexandria.

Lattice parameters (Å, degrees): 8.105 8.105 8.105 106.53 106.53 106.53
Atoms (fractional coordinates):
Sr1 0.000 0.000 0.000
Sr2 0.149 0.358 0.498
Sr3 0.358 0.498 0.149
Sr4 0.498 0.149 0.358
Sr5 0.502 0.851 0.642
Sr6 0.642 0.502 0.851
Sr7 0.851 0.642 0.502
N1 0.500 0.500 0.500
F1 0.066 0.329 0.164
F2 0.164 0.066 0.329
F3 0.174 0.682 0.566
F4 0.318 0.434 0.826
F5 0.329 0.164 0.066
F6 0.434 0.826 0.318
F7 0.566 0.174 0.682
F8 0.671 0.836 0.934
F9 0.682 0.566 0.174
F10 0.826 0.318 0.434
F11 0.836 0.934 0.671
F12 0.934 0.671 0.836

Computed properties:
Formation energy from raw total energies (eV per atom): -3.4175
Space-group type: No. 148
Total magnetization (μB/f.u.): 1.0

8.
The following is a GGA-PBE calculation of Sr2NF after structural relaxation, from Alexandria.

Lattice parameters (Å, degrees): 6.871 6.871 6.871 31.52 31.52 31.52
Atoms (fractional coordinates):
Sr1 0.000 0.000 0.000
Sr2 0.190 0.190 0.190
N1 0.596 0.596 0.596
F1 0.768 0.768 0.768

Computed properties:
Formation energy from raw total energies (eV per atom): -1.8134
Space-group type: No. 160
Total magnetization (μB/f.u.): 0.1

9.
The following is a GGA-PBE calculation of SrNF3 after structural relaxation, from Alexandria.

Lattice parameters (Å, degrees): 4.841 4.841 4.841 90.00 90.00 90.00
Atoms (fractional coordinates):
Sr1 0.000 0.000 0.000
N1 0.500 0.500 0.500
F1 0.000 0.000 0.500
F2 0.000 0.500 0.000
F3 0.500 0.000 0.000

Computed properties:
Formation energy from raw total energies (eV per atom): -1.1411
Relative energy among the computed polymorphs (meV/atom): 101.8
DOS at the Fermi energy (states/eV/f.u.): 16.74
Space-group type: No. 221
Total magnetization (μB/f.u.): 2.0

10.
The following is a GGA-PBE calculation of SrN2F3 after structural relaxation, from Alexandria.

Lattice parameters (Å, degrees): 6.859 6.859 5.023 99.74 99.74 54.88
Atoms (fractional coordinates):
Sr1 0.248 0.752 0.750
Sr2 0.752 0.248 0.250
N1 0.225 0.244 0.123
N2 0.244 0.225 0.623
N3 0.756 0.775 0.377
N4 0.775 0.756 0.877
F1 0.128 0.872 0.250
F2 0.369 0.376 0.437
F3 0.376 0.369 0.937
F4 0.624 0.631 0.063
F5 0.631 0.624 0.563
F6 0.872 0.128 0.750

Computed properties:
Formation energy from raw total energies (eV per atom): -0.1508
DOS at the Fermi energy (states/eV/f.u.): 3.54
Space-group type: No. 15
Total magnetization (μB/f.u.): 5.0

11.
The following is a GGA-PBE calculation of SrNF after structural relaxation, from Alexandria.

Lattice parameters (Å, degrees): 4.037 4.037 6.944 95.01 95.01 59.95
Atoms (fractional coordinates):
Sr1 0.148 0.148 0.247
Sr2 0.852 0.852 0.753
N1 0.432 0.432 0.052
N2 0.568 0.568 0.948
F1 0.181 0.181 0.618
F2 0.819 0.819 0.382

Computed properties:
Formation energy from raw total energies (eV per atom): -2.1792
DOS at the Fermi energy (states/eV/f.u.): 1.15
Space-group type: No. 12
Total magnetization (μB/f.u.): 0.0

12.
The following is a GGA-PBE calculation of SrTaN2F after structural relaxation, from Alexandria.

Lattice parameters (Å, degrees): 4.130 4.130 4.131 90.00 90.00 90.00
Atoms (fractional coordinates):
Sr1 0.000 0.000 0.000
Ta1 0.500 0.500 0.500
N1 0.000 0.500 0.500
N2 0.500 0.000 0.500
F1 0.500 0.500 0.000

Computed properties:
Formation energy from raw total energies (eV per atom): -1.5268
Relative energy among the computed polymorphs (meV/atom): 0.0
DOS at the Fermi energy (states/eV/f.u.): 1.55
Space-group type: No. 123
Total magnetization (μB/f.u.): 0.0

13.
The following is a GGA-PBE calculation of SrTaN2F after structural relaxation, from Alexandria.

Lattice parameters (Å, degrees): 4.516 4.516 4.159 90.00 90.00 90.00
Atoms (fractional coordinates):
Sr1 0.000 0.000 0.000
Ta1 0.500 0.500 0.500
N1 0.000 0.500 0.000
N2 0.500 0.000 0.000
F1 0.000 0.000 0.500

Computed properties:
Formation energy from raw total energies (eV per atom): 1.2049
Relative energy among the computed polymorphs (meV/atom): 2731.7
DOS at the Fermi energy (states/eV/f.u.): 7.37
Space-group type: No. 123
Total magnetization (μB/f.u.): 0.0

14.
The following is a GGA-PBE calculation of SrTcNF2 after structural relaxation, from Alexandria.

Lattice parameters (Å, degrees): 4.289 4.289 3.917 90.00 90.00 90.00
Atoms (fractional coordinates):
Sr1 0.000 0.000 0.000
Tc1 0.500 0.500 0.500
N1 0.500 0.500 0.000
F1 0.000 0.500 0.500
F2 0.500 0.000 0.500

Computed properties:
Formation energy from raw total energies (eV per atom): -1.4487
Relative energy among the computed polymorphs (meV/atom): 0.0
DOS at the Fermi energy (states/eV/f.u.): 4.30
Space-group type: No. 123
Total magnetization (μB/f.u.): 0.0

15.
The following is a GGA-PBE calculation of SrTcNF2 after structural relaxation, from Alexandria.

Lattice parameters (Å, degrees): 4.441 4.441 5.132 90.00 90.00 90.00
Atoms (fractional coordinates):
Sr1 0.000 0.000 0.000
Tc1 0.500 0.500 0.500
N1 0.000 0.000 0.500
F1 0.000 0.500 0.000
F2 0.500 0.000 0.000

Computed properties:
Formation energy from raw total energies (eV per atom): -0.3139
Relative energy among the computed polymorphs (meV/atom): 1134.8
DOS at the Fermi energy (states/eV/f.u.): 1.68
Space-group type: No. 123
Total magnetization (μB/f.u.): 5.2

16.
The following is a GGA-PBE calculation of SrTeNF2 after structural relaxation, from Alexandria.

Lattice parameters (Å, degrees): 4.779 4.779 4.208 90.00 90.00 90.00
Atoms (fractional coordinates):
Sr1 0.000 0.000 0.000
Te1 0.500 0.500 0.500
N1 0.500 0.500 0.000
F1 0.000 0.500 0.500
F2 0.500 0.000 0.500

Computed properties:
Formation energy from raw total energies (eV per atom): -1.1090
Relative energy among the computed polymorphs (meV/atom): 0.0
DOS at the Fermi energy (states/eV/f.u.): 0.93
Space-group type: No. 123
Total magnetization (μB/f.u.): 0.0

17.
The following is a GGA-PBE calculation of SrTeNF2 after structural relaxation, from Alexandria.

Lattice parameters (Å, degrees): 4.500 4.500 5.541 90.00 90.00 90.00
Atoms (fractional coordinates):
Sr1 0.000 0.000 0.000
Te1 0.500 0.500 0.500
N1 0.000 0.000 0.500
F1 0.000 0.500 0.000
F2 0.500 0.000 0.000

Computed properties:
Formation energy from raw total energies (eV per atom): -0.8281
Relative energy among the computed polymorphs (meV/atom): 280.9
DOS at the Fermi energy (states/eV/f.u.): 2.26
Space-group type: No. 123
Total magnetization (μB/f.u.): 2.0

18.
The following is a GGA-PBE calculation of SrTiN2F after structural relaxation, from Alexandria.

Lattice parameters (Å, degrees): 4.723 4.723 4.379 90.00 90.00 90.00
Atoms (fractional coordinates):
Sr1 0.000 0.000 0.000
Ti1 0.500 0.500 0.500
N1 0.000 0.500 0.000
N2 0.500 0.000 0.000
F1 0.000 0.000 0.500

Computed properties:
Formation energy from raw total energies (eV per atom): 0.5950
Relative energy among the computed polymorphs (meV/atom): 2187.8
DOS at the Fermi energy (states/eV/f.u.): 2.98
Space-group type: No. 123
Total magnetization (μB/f.u.): 1.0

19.
The following is a GGA-PBE calculation of SrTiN2F after structural relaxation, from Alexandria.

Lattice parameters (Å, degrees): 3.988 3.988 4.158 90.00 90.00 90.00
Atoms (fractional coordinates):
Sr1 0.000 0.000 0.000
Ti1 0.500 0.500 0.500
N1 0.000 0.500 0.500
N2 0.500 0.000 0.500
F1 0.500 0.500 0.000

Computed properties:
Formation energy from raw total energies (eV per atom): -1.5928
Relative energy among the computed polymorphs (meV/atom): 0.0
DOS at the Fermi energy (states/eV/f.u.): 2.27
Space-group type: No. 123
Total magnetization (μB/f.u.): 0.4

20.
The following is a GGA-PBE calculation of SrTlNF2 after structural relaxation, from Alexandria.

Lattice parameters (Å, degrees): 4.689 4.689 5.200 90.00 90.00 90.00
Atoms (fractional coordinates):
Sr1 0.000 0.000 0.000
Tl1 0.500 0.500 0.500
N1 0.000 0.000 0.500
F1 0.000 0.500 0.000
F2 0.500 0.000 0.000

Computed properties:
Formation energy from raw total energies (eV per atom): -1.3455
Relative energy among the computed polymorphs (meV/atom): 0.0
DOS at the Fermi energy (states/eV/f.u.): 2.06
Space-group type: No. 123
Total magnetization (μB/f.u.): 2.0